Entry 1:
Below is an optimized crystal structure of KAlTl2, with properties calculated at the PBE level.

Output
Crystal system: monoclinic
Energy relative to the elements in eV/f.u.: 0.42

Unit cell a=3.394 b=5.000 c=7.541 alpha=90.00 beta=102.71 gamma=90.00
Space group Pm (No. 6)
Inequivalent atoms, fractional coordinates:
K1 0.000 0.000 0.000 x1
Al1 0.363 0.500 0.712 x1
Tl1 0.242 0.000 0.527 x1
Tl2 0.650 0.500 0.309 x1

***

Entry 2:
Below is an optimized crystal structure of RbFe2Ag2, with properties calculated at the PBE level.

Output
Crystal system: tetragonal
Energy relative to the elements in eV/f.u.: 3.08

Unit cell a=3.480 b=3.480 c=19.182 alpha=90.00 beta=90.00 gamma=90.00
Space group I4/mmm (No. 139)
Inequivalent atoms, fractional coordinates:
Rb1 0.000 0.000 0.000 x2
Fe1 0.000 0.500 0.250 x4
Ag1 0.000 0.000 0.359 x4

***

Entry 3:
Below is an optimized crystal structure of NaPuIn2O6, with properties calculated at the PBE level.

Output
Crystal system: trigonal
E_form (uncorrected) in eV/f.u.: -19.3

Unit cell a=5.6678 b=5.6678 c=15.1158 alpha=90.00 beta=90.00 gamma=120.00
Space group R3 (No. 146, hexagonal axes)
Inequivalent atoms, fractional coordinates:
Na1 0.0000 0.0000 0.0000 x3
Pu1 0.0000 0.0000 0.5178 x3
In1 0.0000 0.0000 0.2126 x3
In2 0.0000 0.0000 0.7236 x3
O1 0.0165 0.3487 0.7855 x9
O2 0.0662 0.6983 0.2778 x9

***

Entry 4:
Below is an optimized crystal structure of Nb2H2Rh, with properties calculated at the PBE level.

Output
Crystal system: tetragonal
E in eV/atom: -6.73

Unit cell a=4.058 b=4.058 c=7.446 alpha=90.00 beta=90.00 gamma=90.00
Space group I4/mmm (No. 139)
Inequivalent atoms, fractional coordinates:
Nb1 0.000 0.500 0.250 x4
H1 0.000 0.000 0.166 x4
Rh1 0.000 0.000 0.500 x2

***

| no. | magnetization (μB/f.u.) |
| --- | --- |
| 1 | 0.0 |
| 2 | 6.1 |
| 3 | 3.0 |
| 4 | 0.0 |